# K2RuBr

A geometry-optimized K2RuBr structure (GGA-PBEsol, Alexandria via LeMat-Bulk). Values from VASP.

```
&SYSTEM
  ibrav = 0, nat = 4, ntyp = 3
/
ATOMIC_SPECIES
Br 79.90 Br.upf
K 39.10 K.upf
Ru 101.07 Ru.upf
CELL_PARAMETERS angstrom
-0.226 1.887 4.143
-0.486 -4.134 1.857
6.288 0.666 -2.467
ATOMIC_POSITIONS angstrom
Br 2.723 -2.296 1.195
K 2.852 0.715 2.338
K 0.000 0.000 0.000
Ru -0.356 -1.124 3.000
```

Values from the calculation:
raw formation energy	0.63	eV per atom
energy relative to the lowest polymorph listed for this composition	0.2328	eV per atom